DyPaAsP after structural relaxation. Source: Alexandria, functional PBE-GGA.

Computed properties:
For the density of states at the Fermi level, the calculation gives 1.195 states/eV/f.u. The total moment comes out at 0.00 μB per formula unit. The value obtained for the energy of formation from the pure elements is -1.2590 eV per atom.

abc: 7.2448 7.2448 7.2448
angles: 31.99 31.99 31.99
Element x y z (fractional)
Dy 0.0000 0.0000 0.0000
Pa 0.1825 0.1825 0.1825
As 0.7608 0.7608 0.7608
P 0.5895 0.5895 0.5895


RbAg5Cl8 after structural relaxation. Source: Alexandria, functional PBE-GGA.

Computed properties:
For the density of states at the Fermi level, the calculation gives 23.550 states/eV/f.u. The total moment comes out at 1.94 μB per formula unit. For the formation energy (no corrections), the calculation gives -12.68 kcal/mol of atoms.

abc: 8.1932 8.1932 8.1932
angles: 60.00 60.00 60.00
Element x y z (fractional)
Rb 0.0000 0.0000 0.0000
Ag 0.3766 0.3766 0.3766
Ag 0.3766 0.3766 0.8702
Ag 0.3766 0.8702 0.3766
Ag 0.7500 0.7500 0.7500
Ag 0.8702 0.3766 0.3766
Cl 0.1473 0.1473 0.1473
Cl 0.1473 0.1473 0.5581
Cl 0.1473 0.5581 0.1473
Cl 0.1535 0.6155 0.6155
Cl 0.5581 0.1473 0.1473
Cl 0.6155 0.1535 0.6155
Cl 0.6155 0.6155 0.1535
Cl 0.6155 0.6155 0.6155